PBE CdSbP2, relaxed; total energy = -3.506 eV/atom; magnetic moment = 0.0 μB/cell; relative energy among the computed polymorphs = 0.335 eV/atom; DOS(E_F) = 0.759 states/eV per atom; uncorrected formation energy = 0.4586 eV/atom
1.0
-3.4012 0.8782 1.4095
-0.9809 -3.6546 -0.0901
2.1113 -0.7030 5.5325
Cd P Sb
1 2 1
Cartesian
-0.6076 -1.9155 4.8091 Cd
1.9809 -0.6596 5.1908 P
1.1860 -0.3949 3.1079 P
-1.6632 -1.5640 2.0429 Sb

***

PBE Cd2SbP, relaxed; total energy = -2.565 eV/atom; magnetic moment = 0.0 μB/cell; relative energy among the computed polymorphs = 0.167 eV/atom; DOS(E_F) = 0.344 states/eV per atom; uncorrected formation energy = 0.2755 eV/atom
1.0
3.4331 -0.0622 0.0000
-0.9228 3.3074 0.0000
0.0000 0.0000 8.2354
Cd P Sb
2 1 1
Cartesian
0.0000 0.0000 0.2775 Cd
0.0000 0.0000 3.8402 Cd
1.2552 1.6226 2.0589 P
1.2552 1.6226 6.1766 Sb

***

PBE CdSbP2, relaxed; total energy = -3.800 eV/atom; magnetic moment = 0.0 μB/cell; relative energy among the computed polymorphs = 0.041 eV/atom; DOS(E_F) = 0.438 states/eV per atom; uncorrected formation energy = 0.1644 eV/atom
1.0
-6.8646 -4.3401 -3.5696
-4.2953 -5.6338 -5.3397
-5.0673 -6.9064 -2.3077
Cd P Sb
1 2 1
Cartesian
-12.0138 -12.4973 -8.3046 Cd
-15.9928 -16.6364 -11.0550 P
-4.4059 -4.5832 -3.0456 P
-8.1555 -8.4837 -5.6375 Sb

***

PBE Cd2SbP, relaxed; total energy = -2.442 eV/atom; magnetic moment = 0.0 μB/cell; relative energy among the computed polymorphs = 0.290 eV/atom; DOS(E_F) = 0.746 states/eV per atom; uncorrected formation energy = 0.3986 eV/atom
1.0
0.0000 3.5686 3.5686
3.5686 0.0000 3.5686
3.5686 3.5686 0.0000
Sb P Cd
1 1 2
Cartesian
3.5686 3.5686 3.5686 Sb
0.0000 0.0000 0.0000 P
1.7843 1.7843 1.7843 Cd
5.3528 5.3528 5.3528 Cd

***

PBE CdSb2P, relaxed; total energy = -3.492 eV/atom; magnetic moment = 0.0 μB/cell; relative energy among the computed polymorphs = 0.000 eV/atom; DOS(E_F) = 0.413 states/eV per atom; uncorrected formation energy = 0.1505 eV/atom
1.0
3.9412 0.0799 -0.0741
2.0323 3.3777 -0.0741
1.8510 1.0714 7.4744
Cd P Sb
1 1 2
Cartesian
1.9561 1.1323 1.8316 Cd
5.8683 3.3968 5.4947 P
1.8756 1.0857 7.2509 Sb
3.8876 2.2503 3.8866 Sb

***

PBE CdSbP2, relaxed; total energy = -3.470 eV/atom; magnetic moment = 0.0 μB/cell; relative energy among the computed polymorphs = 0.370 eV/atom; DOS(E_F) = 0.555 states/eV per atom; uncorrected formation energy = 0.4939 eV/atom
1.0
-3.0113 0.1848 1.6141
0.5999 -3.2696 -0.8104
3.5093 -1.0074 6.6622
Cd P Sb
1 2 1
Cartesian
1.4263 -2.2980 5.3985 Cd
3.4974 -1.0040 6.6397 P
1.7665 -0.5071 3.3537 P
-0.3283 -1.7943 2.0674 Sb

***

PBE CdSbP2, relaxed; total energy = -3.580 eV/atom; magnetic moment = 0.0 μB/cell; relative energy among the computed polymorphs = 0.261 eV/atom; DOS(E_F) = 0.508 states/eV per atom; uncorrected formation energy = 0.3844 eV/atom
1.0
-3.5448 0.4605 0.0379
2.0098 -0.8889 -2.8195
-1.1339 -8.8917 1.9951
Cd P Sb
1 2 1
Cartesian
-1.6477 -7.1170 0.1581 Cd
-0.0449 -0.3519 0.0790 P
-0.9870 -1.9354 -1.0046 P
-0.5562 -4.3617 0.9787 Sb

***

PBE Cd12Sb5P3, relaxed; total energy = -2.291 eV/atom; magnetic moment = 0.0 μB/cell; DOS(E_F) = 0.140 states/eV per atom; uncorrected formation energy = 0.1005 eV/atom
1.0
-5.1609 12.4201 4.8493
-10.7856 -9.1464 -2.1036
9.0773 -5.4626 9.6007
P Sb Cd
12 20 48
Cartesian
-6.7806 5.2024 4.0482 P
-11.4703 3.3250 3.8655 P
-4.3512 -5.6163 6.2412 P
0.7656 -0.0867 4.5496 P
-3.5947 8.3587 6.3803 P
-6.4070 -2.4246 2.9039 P
-0.4622 0.2358 9.4425 P
-3.2745 -10.5475 5.9660 P
-7.6348 -2.1021 7.7967 P
-2.5180 3.4275 6.1051 P
4.6011 -5.5138 8.4809 P
-0.0886 -7.3912 8.2982 P
-2.4204 -3.2430 2.2175 Sb
-5.3928 -4.5732 -1.0518 Sb
0.0000 0.0000 0.0000 Sb
-3.4971 1.6881 2.4927 Sb
1.9582 3.4788 7.2250 Sb
-7.9732 1.6369 1.3728 Sb
-5.3303 -7.3557 2.6287 Sb
2.7237 3.3921 11.7746 Sb
-7.2077 1.5501 5.9225 Sb
3.5244 -0.5827 8.7560 Sb
-10.3936 -1.6062 3.5903 Sb
-3.4346 -1.0944 6.1732 Sb
-2.5805 6.2101 2.4246 Sb
4.5386 -2.7313 4.8003 Sb
0.3385 -3.7390 6.4239 Sb
-9.5929 -5.5809 0.5718 Sb
-0.8541 -7.3045 3.7486 Sb
-1.5389 5.1669 9.7176 Sb
-3.3721 -3.8770 9.8537 Sb
-4.4488 1.0542 10.1289 Sb
-4.6104 7.6818 3.9667 Cd
-3.8052 -3.5467 4.5878 Cd
-6.4872 6.7864 6.2208 Cd
-4.3708 4.1197 3.4685 Cd
-5.0390 -2.8544 7.9033 Cd
-9.2826 5.4967 5.0325 Cd
-6.3427 -5.0132 3.6850 Cd
-8.7120 -8.0372 -0.3330 Cd
-6.8350 -5.2522 7.2480 Cd
-8.8563 2.6426 3.9946 Cd
-5.2131 3.4161 6.3321 Cd
-13.7699 1.2938 2.6612 Cd
-3.5248 -8.2893 4.4987 Cd
-5.6106 -0.0126 1.9746 Cd
-7.3320 -9.1970 2.1480 Cd
1.7241 0.5534 6.9964 Cd
-0.2852 -1.5153 2.5074 Cd
-8.9646 -1.1330 1.2747 Cd
-11.4704 0.7244 4.6087 Cd
-4.2649 -2.2764 0.4032 Cd
-5.1086 -8.0615 7.1148 Cd
-6.1708 -0.8772 5.1097 Cd
-8.5906 1.0191 8.2535 Cd
0.6347 1.6064 11.5000 Cd
-0.6985 -1.3116 7.2367 Cd
1.7214 -3.2079 4.0929 Cd
-7.5039 -3.7953 0.8463 Cd
4.6012 -2.9132 7.7377 Cd
-1.7606 5.8726 5.2315 Cd
-2.6043 0.0875 11.9431 Cd
2.0954 -1.0558 11.0717 Cd
-8.5933 -2.7422 5.3499 Cd
-6.5840 -0.6735 9.8389 Cd
0.4628 7.0081 10.1984 Cd
-3.3444 6.1004 7.8477 Cd
6.9007 -3.4827 9.6852 Cd
-1.2586 -2.1762 10.3718 Cd
-0.0342 3.0634 5.0983 Cd
1.9871 -4.8314 8.3518 Cd
-1.6561 -5.6050 6.0142 Cd
1.8428 5.8484 12.6794 Cd
-0.5265 2.8244 8.6613 Cd
-2.4984 -6.3085 8.8779 Cd
2.4134 -7.6855 7.3139 Cd
-1.8302 0.6655 4.4431 Cd
-0.3820 -8.9753 6.1256 Cd
-3.0640 1.3579 7.7586 Cd
-2.2588 -9.8706 8.3797 Cd